A plane-wave DFT calculation with SCAN was carried out for a PBEsol-optimized structure of NaTiSnP3O12.

a b c (Å): 8.886 8.886 8.886
angles (deg): 58.02 58.02 58.02
Positions (direct):
Na1 0.000 0.000 0.000
Na2 0.500 0.500 0.500
Ti1 0.144 0.144 0.144
Ti2 0.644 0.644 0.644
Sn1 0.353 0.353 0.353
Sn2 0.853 0.853 0.853
P1 0.037 0.752 0.457
P2 0.252 0.537 0.957
P3 0.457 0.037 0.752
P4 0.537 0.957 0.252
P5 0.752 0.457 0.037
P6 0.957 0.252 0.537
O1 0.018 0.781 0.622
O2 0.053 0.929 0.278
O3 0.086 0.725 0.926
O4 0.122 0.281 0.518
O5 0.210 0.369 0.998
O6 0.225 0.586 0.426
O7 0.278 0.053 0.929
O8 0.281 0.518 0.122
O9 0.369 0.998 0.210
O10 0.426 0.225 0.586
O11 0.429 0.553 0.778
O12 0.498 0.869 0.710
O13 0.518 0.122 0.281
O14 0.553 0.778 0.429
O15 0.586 0.426 0.225
O16 0.622 0.018 0.781
O17 0.710 0.498 0.869
O18 0.725 0.926 0.086
O19 0.778 0.429 0.553
O20 0.781 0.622 0.018
O21 0.869 0.710 0.498
O22 0.926 0.086 0.725
O23 0.929 0.278 0.053
O24 0.998 0.210 0.369

Calculated values
Space group: R3c (161)
Formation energy without anion corrections, eV/atom: -2.5558
D(E_F), states/eV per cell: 0.00

A plane-wave DFT calculation with SCAN was carried out for a PBEsol-optimized structure of ScTaTl.

a b c (Å): 6.550 6.550 6.550
angles (deg): 90.00 90.00 90.00
Positions (direct):
Sc1 0.000 0.000 0.000
Sc2 0.000 0.500 0.500
Sc3 0.500 0.000 0.500
Sc4 0.500 0.500 0.000
Ta1 0.000 0.000 0.500
Ta2 0.000 0.500 0.000
Ta3 0.500 0.000 0.000
Ta4 0.500 0.500 0.500
Tl1 0.250 0.250 0.250
Tl2 0.250 0.750 0.750
Tl3 0.750 0.250 0.750
Tl4 0.750 0.750 0.250

Calculated values
Space group: F-43m (216)
D(E_F), states/eV per cell: 14.05
Calculated formation energy, eV per atom: 0.60
Energy above the most stable polymorph in this dataset, eV/atom: 0.4678

A plane-wave DFT calculation with SCAN was carried out for a PBEsol-optimized structure of IrPbW2.

a b c (Å): 5.391 8.650 2.884
angles (deg): 90.00 90.00 90.00
Positions (direct):
Ir1 0.000 0.000 0.000
Ir2 0.500 0.500 0.000
Pb1 0.000 0.500 0.000
Pb2 0.500 0.000 0.000
W1 0.250 0.250 0.500
W2 0.250 0.750 0.500
W3 0.750 0.250 0.500
W4 0.750 0.750 0.500

Calculated values
Space group: Cmmm (65)
D(E_F), states/eV per cell: 6.17
Calculated formation energy, eV per atom: 0.84

A plane-wave DFT calculation with SCAN was carried out for a PBEsol-optimized structure of GeBiIN2.

a b c (Å): 4.161 4.161 5.354
angles (deg): 90.00 90.00 90.00
Positions (direct):
Ge1 0.000 0.000 0.000
Bi1 0.500 0.500 0.500
I1 0.000 0.000 0.500
N1 0.000 0.500 0.000
N2 0.500 0.000 0.000

Calculated values
Space group: P4/mmm (123)
Formation energy without anion corrections, eV/atom: 1.4930
D(E_F), states/eV per cell: 1.58

A plane-wave DFT calculation with SCAN was carried out for a PBEsol-optimized structure of InGeF3.

a b c (Å): 4.336 4.336 4.336
angles (deg): 90.00 90.00 90.00
Positions (direct):
In1 0.000 0.000 0.000
Ge1 0.500 0.500 0.500
F1 0.000 0.000 0.500
F2 0.000 0.500 0.000
F3 0.500 0.000 0.000

Calculated values
Space group: Pm-3m (221)
Formation energy without anion corrections, eV/atom: -1.4613
D(E_F), states/eV per cell: 1.58

A plane-wave DFT calculation with SCAN was carried out for a PBEsol-optimized structure of Ba4Pb3O10.

a b c (Å): 15.473 15.473 15.473
angles (deg): 164.00 164.00 22.70
Positions (direct):
Ba1 0.069 0.069 0.000
Ba2 0.203 0.203 0.000
Ba3 0.797 0.797 0.000
Ba4 0.931 0.931 0.000
Pb1 0.358 0.358 0.000
Pb2 0.500 0.500 0.000
Pb3 0.642 0.642 0.000
O1 0.000 0.500 0.500
O2 0.140 0.640 0.500
O3 0.287 0.287 0.000
O4 0.360 0.860 0.500
O5 0.429 0.429 0.000
O6 0.500 0.000 0.500
O7 0.571 0.571 0.000
O8 0.640 0.140 0.500
O9 0.713 0.713 0.000
O10 0.860 0.360 0.500

Calculated values
Space group: I4/mmm (139)
Formation energy without anion corrections, eV/atom: -1.9693
D(E_F), states/eV per cell: 3.39

Copy entry 1 word for word.
A plane-wave DFT calculation with SCAN was carried out for a PBEsol-optimized structure of NaTiSnP3O12.

a b c (Å): 8.886 8.886 8.886
angles (deg): 58.02 58.02 58.02
Positions (direct):
Na1 0.000 0.000 0.000
Na2 0.500 0.500 0.500
Ti1 0.144 0.144 0.144
Ti2 0.644 0.644 0.644
Sn1 0.353 0.353 0.353
Sn2 0.853 0.853 0.853
P1 0.037 0.752 0.457
P2 0.252 0.537 0.957
P3 0.457 0.037 0.752
P4 0.537 0.957 0.252
P5 0.752 0.457 0.037
P6 0.957 0.252 0.537
O1 0.018 0.781 0.622
O2 0.053 0.929 0.278
O3 0.086 0.725 0.926
O4 0.122 0.281 0.518
O5 0.210 0.369 0.998
O6 0.225 0.586 0.426
O7 0.278 0.053 0.929
O8 0.281 0.518 0.122
O9 0.369 0.998 0.210
O10 0.426 0.225 0.586
O11 0.429 0.553 0.778
O12 0.498 0.869 0.710
O13 0.518 0.122 0.281
O14 0.553 0.778 0.429
O15 0.586 0.426 0.225
O16 0.622 0.018 0.781
O17 0.710 0.498 0.869
O18 0.725 0.926 0.086
O19 0.778 0.429 0.553
O20 0.781 0.622 0.018
O21 0.869 0.710 0.498
O22 0.926 0.086 0.725
O23 0.929 0.278 0.053
O24 0.998 0.210 0.369

Calculated values
Space group: R3c (161)
Formation energy without anion corrections, eV/atom: -2.5558
D(E_F), states/eV per cell: 0.00

Question: Which of these has the lowest D(E_F)?
Answer: NaTiSnP3O12

Question: Look up the D(E_F) of the first one.
Answer: 0.00 states/eV per cell

Question: Which of these has the lowest D(E_F)?
Answer: NaTiSnP3O12